Record 1
TcMoCl2: relaxed, PBE.

The calculation puts the formation energy from raw total energies at 347 kJ/mol of formula units. The value obtained for the density of states at the Fermi level is 2.958 states/eV/f.u.

It has space group I-42d (No. 122), with a = 5.356 Å, b = 5.356 Å, c = 10.591 Å, α = 90.00°, β = 90.00° and γ = 90.00°. The inequivalent atoms are Tc at (0.000, 0.000, 0.000), Mo at (0.000, 0.000, 0.500) and Cl at (0.247, 0.250, 0.125).

***

Record 2
Tc2MoCl: relaxed, PBE.

The calculation puts the formation energy from raw total energies at 208 kJ/mol of formula units. The value obtained for the density of states at the Fermi level is 2.061 states/eV/f.u.

It has space group Imm2 (No. 44), with a = 2.901 Å, b = 4.459 Å, c = 9.046 Å, α = 90.00°, β = 90.00° and γ = 90.00°. The inequivalent atoms are Tc at (0.000, 0.000, 0.000), Tc at (0.000, 0.500, 0.242), Mo at (0.000, 0.000, 0.458) and Cl at (0.000, 0.500, 0.733).

***

Record 3
Tc2MoCl: relaxed, PBE.

The calculation puts the formation energy from raw total energies at 175 kJ/mol of formula units. The value obtained for the density of states at the Fermi level is 2.416 states/eV/f.u.

It has space group Pm (No. 6), with a = 2.861 Å, b = 4.040 Å, c = 5.454 Å, α = 90.00°, β = 104.33° and γ = 90.00°. The inequivalent atoms are Tc at (0.000, 0.000, 0.000), Tc at (0.405, 0.500, 0.799), Mo at (0.823, 0.000, 0.515) and Cl at (0.747, 0.500, 0.244).

***

Record 4
TcMoCl2: relaxed, PBE.

The calculation puts the formation energy from raw total energies at 41 kJ/mol of formula units. The value obtained for the density of states at the Fermi level is 2.933 states/eV/f.u.

It has space group C2/m (No. 12), with a = 13.876 Å, b = 2.997 Å, c = 4.406 Å, α = 90.00°, β = 96.08° and γ = 90.00°. The inequivalent atoms are Tc at (0.000, 0.000, 0.000), Mo at (0.000, 0.500, 0.500) and Cl at (0.137, 0.000, 0.706).

***

Record 5
TcMoCl2: relaxed, PBE.

The calculation puts the formation energy from raw total energies at -103 kJ/mol of formula units. The value obtained for the density of states at the Fermi level is 3.511 states/eV/f.u.

It has space group Pm (No. 6), with a = 3.268 Å, b = 2.965 Å, c = 8.894 Å, α = 90.00°, β = 90.63° and γ = 90.00°. The inequivalent atoms are Tc at (0.000, 0.000, 0.000), Mo at (0.495, 0.500, 0.833), Cl at (0.006, 0.500, 0.212) and Cl at (0.489, 0.000, 0.620).

***

Record 6
Tc2MoCl: relaxed, PBE.

The calculation puts the formation energy from raw total energies at 202 kJ/mol of formula units. The value obtained for the density of states at the Fermi level is 3.892 states/eV/f.u.

It has space group P2/m (No. 10), with a = 2.908 Å, b = 4.086 Å, c = 5.210 Å, α = 90.00°, β = 104.99° and γ = 90.00°. The inequivalent atoms are Tc at (0.142, 0.000, 0.254), Mo at (0.500, 0.500, 0.000) and Cl at (0.500, 0.500, 0.500).

***

Record 7
Tc2MoCl: relaxed, PBE.

The calculation puts the formation energy from raw total energies at 247 kJ/mol of formula units. The value obtained for the density of states at the Fermi level is 4.097 states/eV/f.u.

It has space group Pmmm (No. 47), with a = 2.930 Å, b = 4.059 Å, c = 5.231 Å, α = 90.00°, β = 90.00° and γ = 90.00°. The inequivalent atoms are Tc at (0.000, 0.000, 0.230), Mo at (0.500, 0.500, 0.000) and Cl at (0.500, 0.500, 0.500).

***

Record 8
TcMoCl2: relaxed, PBE.

The calculation puts the formation energy from raw total energies at -30 kJ/mol of formula units. The value obtained for the density of states at the Fermi level is 4.742 states/eV/f.u.

It has space group P4mm (No. 99), with a = 2.942 Å, b = 2.942 Å, c = 8.705 Å, α = 90.00°, β = 90.00° and γ = 90.00°. The inequivalent atoms are Tc at (0.000, 0.000, 0.000), Mo at (0.500, 0.500, 0.797), Cl at (0.000, 0.000, 0.609) and Cl at (0.500, 0.500, 0.190).

***

Record 9
Tc2MoCl: relaxed, PBE.

The calculation puts the formation energy from raw total energies at 408 kJ/mol of formula units. The value obtained for the density of states at the Fermi level is 3.622 states/eV/f.u.

It has space group I-42d (No. 122), with a = 5.531 Å, b = 5.531 Å, c = 10.669 Å, α = 90.00°, β = 90.00° and γ = 90.00°. The inequivalent atoms are Tc at (0.232, 0.250, 0.125), Mo at (0.000, 0.000, 0.500) and Cl at (0.000, 0.000, 0.000).

***

Record 10
TcMoCl: relaxed, PBE.

The calculation puts the formation energy from raw total energies at 66 kJ/mol of formula units. The value obtained for the density of states at the Fermi level is 3.267 states/eV/f.u.

It has space group P3m1 (No. 156), with a = 2.9605 Å, b = 2.9605 Å, c = 6.2905 Å, α = 90.00°, β = 90.00° and γ = 120.00°. The inequivalent atoms are Tc at (0.0000, 0.0000, 0.0000), Mo at (0.6667, 0.3333, 0.6904) and Cl at (0.3333, 0.6667, 0.3698).

***

Record 11
TcMoCl: relaxed, PBE.

The calculation puts the formation energy from raw total energies at 139 kJ/mol of formula units. The value obtained for the density of states at the Fermi level is 1.159 states/eV/f.u.

It has space group P3m1 (No. 156), with a = 4.1913 Å, b = 4.1913 Å, c = 2.9387 Å, α = 90.00°, β = 90.00° and γ = 120.00°. The inequivalent atoms are Tc at (0.0000, 0.0000, 0.0000), Mo at (0.6667, 0.3333, 0.4652) and Cl at (0.3333, 0.6667, 0.2563).

***

Record 12
TcMoCl2: relaxed, PBE.

The calculation puts the formation energy from raw total energies at 327 kJ/mol of formula units. The value obtained for the density of states at the Fermi level is 2.870 states/eV/f.u.

It has space group F-43m (No. 216), with a = 6.465 Å, b = 6.465 Å, c = 6.465 Å, α = 90.00°, β = 90.00° and γ = 90.00°. The inequivalent atoms are Tc at (0.000, 0.000, 0.000), Mo at (0.250, 0.250, 0.250), Cl at (0.000, 0.000, 0.500) and Cl at (0.250, 0.250, 0.750).

***

Record 13
Tc2MoCl: relaxed, PBE.

The calculation puts the formation energy from raw total energies at 354 kJ/mol of formula units. The value obtained for the density of states at the Fermi level is 6.919 states/eV/f.u.

It has space group Fm-3m (No. 225), with a = 6.249 Å, b = 6.249 Å, c = 6.249 Å, α = 90.00°, β = 90.00° and γ = 90.00°. The inequivalent atoms are Tc at (0.250, 0.250, 0.250), Mo at (0.000, 0.000, 0.000) and Cl at (0.000, 0.000, 0.500).

***

Record 14
TcMoCl2: relaxed, PBE.

The calculation puts the formation energy from raw total energies at -40 kJ/mol of formula units. The value obtained for the density of states at the Fermi level is 2.797 states/eV/f.u.

It has space group R3m (No. 160, hexagonal axes), with a = 3.0076 Å, b = 3.0076 Å, c = 28.8620 Å, α = 90.00°, β = 90.00° and γ = 120.00°. The inequivalent atoms are Tc at (0.0000, 0.0000, 0.0000), Mo at (0.0000, 0.0000, 0.7408), Cl at (0.0000, 0.0000, 0.2707) and Cl at (0.0000, 0.0000, 0.4706).

***

Record 15
TcMoCl: relaxed, PBE.

The calculation puts the formation energy from raw total energies at 84 kJ/mol of formula units. The value obtained for the density of states at the Fermi level is 2.670 states/eV/f.u.

It has space group I4mm (No. 107), with a = 2.979 Å, b = 2.979 Å, c = 10.836 Å, α = 90.00°, β = 90.00° and γ = 90.00°. The inequivalent atoms are Tc at (0.000, 0.000, 0.000), Mo at (0.000, 0.000, 0.640) and Cl at (0.000, 0.000, 0.313).

***

Record 16
Tc2MoCl: relaxed, PBE.

The calculation puts the formation energy from raw total energies at 122 kJ/mol of formula units. The value obtained for the density of states at the Fermi level is 4.645 states/eV/f.u.

It has space group P4mm (No. 99), with a = 2.900 Å, b = 2.900 Å, c = 7.122 Å, α = 90.00°, β = 90.00° and γ = 90.00°. The inequivalent atoms are Tc at (0.000, 0.000, 0.000), Tc at (0.500, 0.500, 0.236), Mo at (0.500, 0.500, 0.742) and Cl at (0.000, 0.000, 0.500).

***

Record 17
TcMoCl2: relaxed, PBE.

The calculation puts the formation energy from raw total energies at 18 kJ/mol of formula units. The value obtained for the density of states at the Fermi level is 2.885 states/eV/f.u.

It has space group Imm2 (No. 44), with a = 3.084 Å, b = 3.142 Å, c = 17.640 Å, α = 90.00°, β = 90.00° and γ = 90.00°. The inequivalent atoms are Tc at (0.000, 0.000, 0.000), Mo at (0.000, 0.500, 0.098), Cl at (0.000, 0.000, 0.407) and Cl at (0.000, 0.500, 0.691).

***

Record 18
Tc2MoCl: relaxed, PBE.

The calculation puts the formation energy from raw total energies at 380 kJ/mol of formula units. The value obtained for the density of states at the Fermi level is 5.218 states/eV/f.u.

It has space group I4/mmm (No. 139), with a = 3.712 Å, b = 3.712 Å, c = 8.815 Å, α = 90.00°, β = 90.00° and γ = 90.00°. The inequivalent atoms are Tc at (0.000, 0.500, 0.250), Mo at (0.000, 0.000, 0.000) and Cl at (0.000, 0.000, 0.500).

***

Record 19
TcMoCl2: relaxed, PBE.

The calculation puts the formation energy from raw total energies at 266 kJ/mol of formula units. The value obtained for the density of states at the Fermi level is 4.099 states/eV/f.u.

It has space group Pmmm (No. 47), with a = 2.835 Å, b = 4.289 Å, c = 5.473 Å, α = 90.00°, β = 90.00° and γ = 90.00°. The inequivalent atoms are Tc at (0.000, 0.000, 0.000), Mo at (0.500, 0.000, 0.500), Cl at (0.000, 0.500, 0.500) and Cl at (0.500, 0.500, 0.000).

***

Record 20
Tc2MoCl: relaxed, PBE.

The calculation puts the formation energy from raw total energies at 145 kJ/mol of formula units. The value obtained for the density of states at the Fermi level is 2.606 states/eV/f.u.

It has space group P4/mmm (No. 123), with a = 3.022 Å, b = 3.022 Å, c = 6.812 Å, α = 90.00°, β = 90.00° and γ = 90.00°. The inequivalent atoms are Tc at (0.000, 0.000, 0.231), Mo at (0.500, 0.500, 0.000) and Cl at (0.500, 0.500, 0.500).

***

ΔE to the lowest computed polymorph (kJ per mole of atoms)
112.5; 23.6; 15.4; 35.9; 0.0; 22.1; 33.5; 18.2; 73.6; 0.0; 24.3; 107.4; 60.3; 15.8; 6.1; 2.3; 30.1; 66.7; 92.3; 7.8